10
Lattice="7.1080 0.0000 0.0000 0.0000 7.1080 0.0000 0.0000 0.0000 2.8634" Properties=species:S:1:pos:R:3 comment="Ir2WF2 (GGA+U, relaxed)" de_polymorph_ev_per_fu=1.00 pbc="T T T"
Ir 0.8203 2.7337 0.0000
Ir 2.7337 6.2877 0.0000
Ir 4.3743 0.8203 0.0000
Ir 6.2877 4.3743 0.0000
W 0.0000 0.0000 1.4317
W 3.5540 3.5540 1.4317
F 1.5194 5.0734 1.4317
F 2.0346 1.5194 1.4317
F 5.0734 5.5886 1.4317
F 5.5886 2.0346 1.4317